This record from the Alexandria database describes a relaxed structure of Ti3ZnN. The functional is GGA-PBE.

Cell lengths 5.6720, 5.6720, 5.0197 Å; angles 93.36, 93.36, 61.45 degrees
Positions (direct):
Ti 0.0000 0.0000 0.0000
Ti 0.0031 0.5080 0.8332
Ti 0.2383 0.7620 0.4905
Ti 0.5080 0.0031 0.8332
Ti 0.7426 0.7426 0.3225
Ti 0.7620 0.2383 0.4905
Zn 0.2550 0.2550 0.3288
Zn 0.5073 0.5073 0.9844
N 0.1295 0.1295 0.6917
N 0.8670 0.8670 0.6579

Properties
The value obtained for the volume is 141.5 Å³ per cell. The calculation puts the uncorrected formation energy at -715 meV per atom. As for the space group: No. 8. For the energy above the most stable polymorph in this dataset, the calculation gives 4.248 kcal/mol of atoms.